1.
The following is a DFT calculation (PBE-GGA) of YRu4Au after structural relaxation.

Calculated values
Calculated total energy: -7.70 eV/atom
SG: No. 216
Total magnetization: 2.4 μB/cell
Energy of formation from the pure elements: 108 meV per atom

Cell: 5.251 5.251 5.251 Å, 60.00 60.00 60.00°
Sites, in units of the cell vectors:
Y (0.000, 0.000, 0.000)
Ru (0.376, 0.376, 0.376)
Ru (0.376, 0.376, 0.872)
Ru (0.376, 0.872, 0.376)
Ru (0.872, 0.376, 0.376)
Au (0.750, 0.750, 0.750)

2.
The following is a DFT calculation (PBE-GGA) of NaZnInSn after structural relaxation.

Calculated values
Calculated total energy: -2.34 eV/atom
SG: No. 216
Total magnetization: 0.0 μB/cell
Energy of formation from the pure elements: -6 meV per atom

Cell: 5.157 5.157 5.157 Å, 60.00 60.00 60.00°
Sites, in units of the cell vectors:
Na (0.000, 0.000, 0.000)
Zn (0.250, 0.250, 0.250)
In (0.750, 0.750, 0.750)
Sn (0.500, 0.500, 0.500)

3.
The following is a DFT calculation (PBE-GGA) of BPdPb2 after structural relaxation.

Calculated values
Calculated total energy: -4.16 eV/atom
SG: No. 122
Total magnetization: 0.0 μB/cell
Energy of formation from the pure elements: 663 meV per atom

Cell: 6.341 6.341 6.341 Å, 117.71 117.71 94.02°
Sites, in units of the cell vectors:
B (0.000, 0.000, 0.000)
B (0.750, 0.250, 0.500)
Pd (0.250, 0.750, 0.500)
Pd (0.500, 0.500, 0.000)
Pb (0.079, 0.625, 0.954)
Pb (0.375, 0.329, 0.454)
Pb (0.671, 0.125, 0.046)
Pb (0.875, 0.921, 0.546)

4.
The following is a DFT calculation (PBE-GGA) of V5W7 after structural relaxation.

Calculated values
Calculated total energy: -11.43 eV/atom
SG: No. 65
Total magnetization: 0.0 μB/cell
Energy of formation from the pure elements: -71 meV per atom
Energy above the most stable polymorph in this dataset: 0.0137 eV per atom

Cell: 9.804 9.804 3.116 Å, 90.00 90.00 142.98°
Sites, in units of the cell vectors:
V (0.000, 0.000, 0.000)
V (0.000, 0.500, 0.500)
V (0.168, 0.832, 0.000)
V (0.500, 0.000, 0.500)
V (0.832, 0.168, 0.000)
W (0.159, 0.329, 0.500)
W (0.329, 0.159, 0.500)
W (0.330, 0.670, 0.000)
W (0.500, 0.500, 0.000)
W (0.670, 0.330, 0.000)
W (0.671, 0.841, 0.500)
W (0.841, 0.671, 0.500)

5.
The following is a DFT calculation (PBE-GGA) of HfBiIO2 after structural relaxation.

Calculated values
E_form (uncorrected): 1.24 eV per formula unit
Calculated total energy: -4.81 eV/atom
SG: No. 123
Total magnetization: 1.9 μB/cell
Energy above the most stable polymorph in this dataset: 1.4248 eV per atom

Cell: 4.343 4.343 6.433 Å, 90.00 90.00 90.00°
Sites, in units of the cell vectors:
Hf (0.000, 0.000, 0.000)
Bi (0.500, 0.500, 0.500)
I (0.500, 0.500, 0.000)
O (0.000, 0.500, 0.500)
O (0.500, 0.000, 0.500)

6.
The following is a DFT calculation (PBE-GGA) of La3Pr2Cd2 after structural relaxation.

Calculated values
Calculated total energy: -3.85 eV/atom
SG: No. 65
Total magnetization: 0.1 μB/cell
Energy of formation from the pure elements: -110 meV per atom
Energy above the most stable polymorph in this dataset: 0.0466 eV per atom

Cell: 16.010 16.010 3.796 Å, 90.00 90.00 166.18°
Sites, in units of the cell vectors:
La (0.000, 0.000, 0.000)
La (0.420, 0.580, 0.500)
La (0.580, 0.420, 0.500)
Pr (0.296, 0.704, 0.500)
Pr (0.704, 0.296, 0.500)
Cd (0.143, 0.857, 0.000)
Cd (0.857, 0.143, 0.000)

7.
The following is a DFT calculation (PBE-GGA) of MgAl2Au after structural relaxation.

Calculated values
Calculated total energy: -3.30 eV/atom
SG: No. 99
Total magnetization: 0.0 μB/cell
Energy of formation from the pure elements: -209 meV per atom

Cell: 3.585 3.585 5.559 Å, 90.00 90.00 90.00°
Sites, in units of the cell vectors:
Mg (0.000, 0.000, 0.000)
Al (0.000, 0.000, 0.504)
Al (0.500, 0.500, 0.269)
Au (0.500, 0.500, 0.756)

8.
The following is a DFT calculation (PBE-GGA) of Ce2CdB2Ir5 after structural relaxation.

Calculated values
Calculated total energy: -7.58 eV/atom
SG: No. 127
Total magnetization: 0.7 μB/cell
Energy of formation from the pure elements: -539 meV per atom

Cell: 9.729 9.729 3.326 Å, 90.00 90.00 90.00°
Sites, in units of the cell vectors:
Ce (0.178, 0.322, 0.000)
Ce (0.322, 0.822, 0.000)
Ce (0.678, 0.178, 0.000)
Ce (0.822, 0.678, 0.000)
Cd (0.000, 0.000, 0.000)
Cd (0.500, 0.500, 0.000)
B (0.120, 0.620, 0.000)
B (0.380, 0.120, 0.000)
B (0.620, 0.880, 0.000)
B (0.880, 0.380, 0.000)
Ir (0.000, 0.500, 0.500)
Ir (0.070, 0.771, 0.500)
Ir (0.229, 0.070, 0.500)
Ir (0.271, 0.570, 0.500)
Ir (0.430, 0.271, 0.500)
Ir (0.500, 0.000, 0.500)
Ir (0.570, 0.729, 0.500)
Ir (0.729, 0.430, 0.500)
Ir (0.771, 0.930, 0.500)
Ir (0.930, 0.229, 0.500)

9.
The following is a DFT calculation (PBE-GGA) of YPdSeBr2 after structural relaxation.

Calculated values
E_form (uncorrected): -2.76 eV per formula unit
Calculated total energy: -4.25 eV/atom
SG: No. 123
Total magnetization: 1.0 μB/cell
Energy above the most stable polymorph in this dataset: 0.0000 eV per atom

Cell: 5.503 5.503 5.573 Å, 90.00 90.00 90.00°
Sites, in units of the cell vectors:
Y (0.000, 0.000, 0.000)
Pd (0.500, 0.500, 0.500)
Se (0.000, 0.000, 0.500)
Br (0.000, 0.500, 0.000)
Br (0.500, 0.000, 0.000)

10.
The following is a DFT calculation (PBE-GGA) of Ca2YTlIr after structural relaxation.

Calculated values
Calculated total energy: -4.62 eV/atom
SG: No. 123
Total magnetization: 0.0 μB/cell
Energy of formation from the pure elements: -279 meV per atom

Cell: 5.493 5.493 5.359 Å, 90.00 90.00 90.00°
Sites, in units of the cell vectors:
Ca (0.000, 0.500, 0.000)
Ca (0.500, 0.000, 0.000)
Y (0.000, 0.000, 0.500)
Tl (0.500, 0.500, 0.500)
Ir (0.000, 0.000, 0.000)

11.
The following is a DFT calculation (PBE-GGA) of CrSe3 after structural relaxation.

Calculated values
E_form (uncorrected): 0.23 eV per formula unit
Calculated total energy: -4.96 eV/atom
SG: No. 99
Total magnetization: 2.9 μB/cell

Cell: 3.690 3.690 6.842 Å, 90.00 90.00 90.00°
Sites, in units of the cell vectors:
Cr (0.000, 0.000, 0.000)
Se (0.000, 0.500, 0.306)
Se (0.500, 0.000, 0.306)
Se (0.500, 0.500, 0.850)

12.
The following is a DFT calculation (PBE-GGA) of Dy4Ga3Ge5 after structural relaxation.

Calculated values
Calculated total energy: -4.66 eV/atom
SG: No. 12
Total magnetization: 0.0 μB/cell
Energy of formation from the pure elements: -447 meV per atom

Cell: 5.830 5.830 11.992 Å, 111.09 111.09 46.64°
Sites, in units of the cell vectors:
Dy (0.104, 0.104, 0.413)
Dy (0.242, 0.242, 0.778)
Dy (0.758, 0.758, 0.222)
Dy (0.896, 0.896, 0.587)
Ga (0.000, 0.000, 0.000)
Ga (0.275, 0.275, 0.049)
Ga (0.725, 0.725, 0.951)
Ge (0.375, 0.375, 0.412)
Ge (0.480, 0.480, 0.246)
Ge (0.500, 0.500, 0.000)
Ge (0.520, 0.520, 0.754)
Ge (0.625, 0.625, 0.588)